[1]
## PmY5Er4 (PBE-GGA)

Data for a relaxed structure of PmY5Er4.

Cell: 7.8669 7.8669 7.8669 Å, 99.27 99.27 132.66°
With the nearest neighbours (Å) after each atom.
Atoms (fractional coordinates):
Pm 0.0000 0.0000 0.0000  1 Y 2.86
Y 0.0363 0.1263 0.6197  4 Er 3.22-3.51, 1 Pm 3.30, 1 Y 3.31
Y 0.1263 0.5067 0.0901  4 Er 3.22-3.51, 1 Pm 3.30, 1 Y 3.31
Y 0.4166 0.0363 0.9099  4 Er 3.22-3.51, 1 Pm 3.30, 1 Y 3.31
Y 0.5067 0.4166 0.3803  4 Er 3.22-3.51, 1 Pm 3.30, 1 Y 3.31
Y 0.5465 0.5465 0.0000  1 Pm 2.86
Er 0.1207 0.8211 0.4016  1 Er 3.22, 4 Y 3.22-3.51
Er 0.4194 0.7191 0.5984  1 Er 3.22, 4 Y 3.22-3.51
Er 0.7191 0.1207 0.2996  1 Er 3.22, 4 Y 3.22-3.51
Er 0.8211 0.4194 0.7004  1 Er 3.22, 4 Y 3.22-3.51

Energy of formation: 0.307 eV per atom
Crystal system: tetragonal

[2]
## Pm5YEr (PBE-GGA)

Data for a relaxed structure of Pm5YEr.

Cell: 6.3561 6.3561 13.3425 Å, 93.77 93.77 63.10°
With the nearest neighbours (Å) after each atom.
Atoms (fractional coordinates):
Pm 0.2451 0.2625 0.1580  1 Er 3.33, 2 Y 3.34-3.48, 6 Pm 3.34-3.60
Pm 0.2446 0.7554 0.7500  2 Y 3.15-3.50, 6 Pm 3.35-3.49
Pm 0.2625 0.2451 0.6580  1 Er 3.33, 2 Y 3.34-3.48, 6 Pm 3.34-3.60
Pm 0.3252 0.3396 0.4210  5 Pm 3.34-3.60, 1 Y 3.49
Pm 0.3396 0.3252 0.9210  5 Pm 3.34-3.60, 1 Y 3.49
Pm 0.6604 0.6748 0.0790  5 Pm 3.34-3.60, 1 Y 3.49
Pm 0.6748 0.6604 0.5790  5 Pm 3.34-3.60, 1 Y 3.49
Pm 0.7375 0.7549 0.3420  1 Er 3.33, 2 Y 3.34-3.48, 6 Pm 3.34-3.60
Pm 0.7554 0.2446 0.2500  2 Y 3.15-3.50, 6 Pm 3.35-3.49
Pm 0.7549 0.7375 0.8420  1 Er 3.33, 2 Y 3.34-3.48, 6 Pm 3.34-3.60
Y 0.2297 0.7703 0.2500  8 Pm 3.15-3.50
Y 0.7703 0.2297 0.7500  8 Pm 3.15-3.50
Er 0.0000 0.0000 0.0000  4 Pm 3.33-3.71, 2 Y 3.67
Er 0.0000 0.0000 0.5000  4 Pm 3.33-3.71, 2 Y 3.67

Energy of formation: 0.159 eV per atom
Crystal system: monoclinic

[3]
## Pm5Y12Er2 (PBE-GGA)

Data for a relaxed structure of Pm5Y12Er2.

Cell: 9.1066 9.1066 8.6864 Å, 91.67 91.67 61.94°
With the nearest neighbours (Å) after each atom.
Atoms (fractional coordinates):
Pm 0.0000 0.0000 0.0000  10 Y 3.42-3.79, 2 Pm 3.62
Pm 0.2300 0.2300 0.0712  8 Y 3.40-3.64, 2 Pm 3.62-3.67
Pm 0.2950 0.2950 0.4808  8 Y 3.53-3.70, 2 Er 3.59, 1 Pm 3.67
Pm 0.7050 0.7050 0.5192  8 Y 3.53-3.70, 2 Er 3.59, 1 Pm 3.67
Pm 0.7700 0.7700 0.9288  8 Y 3.40-3.64, 2 Pm 3.62-3.67
Y 0.0309 0.6726 0.2628  1 Er 3.35, 4 Y 3.36-3.72, 4 Pm 3.55-3.71
Y 0.0747 0.0747 0.3748  3 Y 3.24-3.53, 2 Pm 3.42-3.53, 2 Er 3.47
Y 0.1808 0.5616 0.8322  5 Y 3.41-3.57, 4 Pm 3.42-3.79, 1 Er 3.58
Y 0.3274 0.9691 0.7372  1 Er 3.35, 4 Y 3.36-3.72, 4 Pm 3.55-3.71
Y 0.4384 0.8192 0.1678  5 Y 3.41-3.57, 4 Pm 3.42-3.79, 1 Er 3.58
Y 0.4427 0.4427 0.1666  2 Pm 3.40-3.63, 2 Er 3.41, 7 Y 3.41-3.56
Y 0.5573 0.5573 0.8334  2 Pm 3.40-3.63, 2 Er 3.41, 7 Y 3.41-3.56
Y 0.5616 0.1808 0.8322  5 Y 3.41-3.57, 4 Pm 3.42-3.79, 1 Er 3.58
Y 0.6726 0.0309 0.2628  1 Er 3.35, 4 Y 3.36-3.72, 4 Pm 3.55-3.71
Y 0.8192 0.4384 0.1678  5 Y 3.41-3.57, 4 Pm 3.42-3.79, 1 Er 3.58
Y 0.9253 0.9253 0.6252  3 Y 3.24-3.53, 2 Pm 3.42-3.53, 2 Er 3.47
Y 0.9691 0.3274 0.7372  1 Er 3.35, 4 Y 3.36-3.72, 4 Pm 3.55-3.71
Er 0.3276 0.6724 0.5000  1 Er 3.23, 8 Y 3.35-3.58, 2 Pm 3.59
Er 0.6724 0.3276 0.5000  1 Er 3.23, 8 Y 3.35-3.58, 2 Pm 3.59

Energy of formation: 0.115 eV per atom
Crystal system: monoclinic

[4]
## Pm2Y12Er5 (PBE-GGA)

Data for a relaxed structure of Pm2Y12Er5.

Cell: 9.1136 9.1136 8.5581 Å, 90.99 90.99 61.38°
With the nearest neighbours (Å) after each atom.
Atoms (fractional coordinates):
Pm 0.1800 0.8200 0.0000  1 Pm 3.35, 8 Y 3.38-3.60, 2 Er 3.53
Pm 0.8200 0.1800 0.0000  1 Pm 3.35, 8 Y 3.38-3.60, 2 Er 3.53
Y 0.0579 0.0579 0.3290  2 Pm 3.38, 2 Er 3.39-3.53, 7 Y 3.41-3.47
Y 0.0649 0.6806 0.3453  4 Er 3.37-3.72, 6 Y 3.41-3.77, 1 Pm 3.60
Y 0.1648 0.5251 0.7593  4 Y 3.35-3.65, 1 Pm 3.41, 4 Er 3.51-3.72
Y 0.3194 0.9351 0.6547  4 Er 3.37-3.72, 6 Y 3.41-3.77, 1 Pm 3.60
Y 0.4103 0.4103 0.1206  3 Er 3.44-3.51, 2 Pm 3.46, 5 Y 3.51-3.65
Y 0.4749 0.8352 0.2407  4 Y 3.35-3.65, 1 Pm 3.41, 4 Er 3.51-3.72
Y 0.5251 0.1648 0.7593  4 Y 3.35-3.65, 1 Pm 3.41, 4 Er 3.51-3.72
Y 0.5897 0.5897 0.8794  3 Er 3.44-3.51, 2 Pm 3.46, 5 Y 3.51-3.65
Y 0.6806 0.0649 0.3453  4 Er 3.37-3.72, 6 Y 3.41-3.77, 1 Pm 3.60
Y 0.8352 0.4749 0.2407  4 Y 3.35-3.65, 1 Pm 3.41, 4 Er 3.51-3.72
Y 0.9351 0.3194 0.6547  4 Er 3.37-3.72, 6 Y 3.41-3.77, 1 Pm 3.60
Y 0.9421 0.9421 0.6710  2 Pm 3.38, 2 Er 3.39-3.53, 7 Y 3.41-3.47
Er 0.1981 0.1981 0.0115  8 Y 3.44-3.69, 2 Pm 3.53, 1 Er 3.68
Er 0.2686 0.2686 0.4247  8 Y 3.37-3.51, 2 Er 3.67-3.68
Er 0.5000 0.5000 0.5000  10 Y 3.51-3.72, 2 Er 3.67
Er 0.7314 0.7314 0.5753  8 Y 3.37-3.51, 2 Er 3.67-3.68
Er 0.8019 0.8019 0.9885  8 Y 3.44-3.69, 2 Pm 3.53, 1 Er 3.68

Energy of formation: 0.131 eV per atom
Crystal system: monoclinic